1.
# LiCe2Hg

Crystalline LiCe2Hg at its relaxed geometry (PBE-GGA, the Alexandria database).

For the calculated total energy, the calculation gives -0.1292 hartree per atom. The total magnetization is 2.6 μB per formula unit.

The space group is Fm-3m (No. 225) and the conventional cell measures 7.543, 7.543 and 7.543 Å, with angles of 90.00, 90.00 and 90.00 degrees. The inequivalent atoms are Li at (0.000, 0.000, 0.000), Ce at (0.250, 0.250, 0.250) and Hg at (0.000, 0.000, 0.500).

=====

2.
# Y4AgW

Crystalline Y4AgW at its relaxed geometry (PBE-GGA, the Alexandria database).

For the calculated total energy, the calculation gives -0.2197 hartree per atom. The total magnetization is 0.7 μB per formula unit.

The space group is F-43m (No. 216) and the conventional cell measures 8.538, 8.538 and 8.538 Å, with angles of 90.00, 90.00 and 90.00 degrees. The inequivalent atoms are Y at (0.124, 0.124, 0.376), Ag at (0.000, 0.000, 0.000) and W at (0.250, 0.250, 0.750).

=====

3.
# V4MoAu

Crystalline V4MoAu at its relaxed geometry (PBE-GGA, the Alexandria database).

For the calculated total energy, the calculation gives -0.3078 hartree per atom. The total magnetization is 0.0 μB per formula unit.

The space group is F-43m (No. 216) and the conventional cell measures 7.020, 7.020 and 7.020 Å, with angles of 90.00, 90.00 and 90.00 degrees. The inequivalent atoms are V at (0.122, 0.122, 0.378), Mo at (0.250, 0.250, 0.750) and Au at (0.000, 0.000, 0.000).

=====

4.
# NaEuTlIn

Crystalline NaEuTlIn at its relaxed geometry (PBE-GGA, the Alexandria database).

For the calculated total energy, the calculation gives -0.1635 hartree per atom. The total magnetization is 7.1 μB per formula unit.

The space group is F-43m (No. 216) and the conventional cell measures 7.733, 7.733 and 7.733 Å, with angles of 90.00, 90.00 and 90.00 degrees. The inequivalent atoms are Na at (0.000, 0.000, 0.000), Eu at (0.000, 0.000, 0.500), Tl at (0.250, 0.250, 0.250) and In at (0.250, 0.250, 0.750).